(1)
Nd5Ho2Tm2 GGA-PBE optimized geometry; ρ = 7.74 g/cm3; spin magnetization = 0.00 μB per cell; energy relative to the lowest polymorph listed for this composition = 0 meV/atom; total energy = -4.640 eV/atom; calculated formation energy = 0.020 eV/atom
1.0
-3.810 6.313 3.255
-0.593 -8.868 -3.453
0.787 3.016 9.002
Nd Ho Tm
5 2 2
Cartesian
-2.204 3.252 7.022 Nd
0.000 0.000 0.000 Nd
-1.413 -2.791 1.782 Nd
-0.213 0.084 3.610 Nd
-3.404 0.377 5.194 Nd
-2.011 3.201 3.391 Ho
-1.606 -2.741 5.412 Ho
-3.228 0.357 1.613 Tm
-0.389 0.104 7.191 Tm

(2)
Tb2Ge6Ru GGA-PBE optimized geometry; ρ = 7.76 g/cm3; spin magnetization = 0.00 μB per cell; total energy = -5.575 eV/atom; calculated formation energy = -0.438 eV/atom
1.0
3.854 0.000 -0.734
0.000 4.195 0.000
0.153 0.000 11.285
Tb Ge Ru
2 6 1
Cartesian
1.397 0.000 7.336 Tb
3.991 0.000 10.466 Tb
0.869 2.098 4.561 Ge
1.903 2.098 9.988 Ge
3.527 2.098 8.031 Ge
2.349 0.000 1.847 Ge
2.820 0.000 4.322 Ge
0.398 2.098 2.089 Ge
3.068 2.098 5.622 Ru

(3)
Ac4PSe3 GGA-PBE optimized geometry; ρ = 7.80 g/cm3; ΔE_f (raw) = -1.801 eV per atom; spin magnetization = 0.00 μB per cell; energy relative to the lowest polymorph listed for this composition = 18 meV/atom; total energy = -5.838 eV/atom
1.0
-5.797 0.327 2.452
1.959 -3.209 5.059
1.511 5.415 2.850
Ac Se P
4 3 1
Cartesian
0.980 -1.605 2.529 Ac
0.755 2.708 1.425 Ac
-2.899 0.163 1.226 Ac
-1.164 1.266 5.181 Ac
-1.919 -1.441 3.756 Se
-2.143 2.871 2.651 Se
1.735 1.103 3.954 Se
0.000 0.000 0.000 P

spin magnetization of number 2 (Tb2Ge6Ru)? 0.00 μB per cell